# 1
Cs3Ti5S12: relaxed, PBE.

abc: 14.0569 14.0569 14.0569
angles: 109.47 109.47 109.47
Element x y z (fractional)
1 Cs 0.1250 0.2500 0.3750
2 Cs 0.1250 0.3750 0.7500
3 Cs 0.2500 0.3750 0.1250
4 Cs 0.2500 0.8750 0.6250
5 Cs 0.3750 0.1250 0.2500
6 Cs 0.3750 0.7500 0.1250
7 Cs 0.6250 0.2500 0.8750
8 Cs 0.6250 0.8750 0.7500
9 Cs 0.7500 0.1250 0.3750
10 Cs 0.7500 0.6250 0.8750
11 Cs 0.8750 0.6250 0.2500
12 Cs 0.8750 0.7500 0.6250
13 Ti 0.0000 0.0000 0.0000
14 Ti 0.0000 0.0000 0.5000
15 Ti 0.0000 0.5000 0.0000
16 Ti 0.0000 0.5000 0.5000
17 Ti 0.1250 0.7500 0.8750
18 Ti 0.1250 0.8750 0.2500
19 Ti 0.2500 0.1250 0.8750
20 Ti 0.2500 0.6250 0.3750
21 Ti 0.3750 0.2500 0.6250
22 Ti 0.3750 0.6250 0.7500
23 Ti 0.5000 0.0000 0.0000
24 Ti 0.5000 0.0000 0.5000
25 Ti 0.5000 0.5000 0.0000
26 Ti 0.5000 0.5000 0.5000
27 Ti 0.6250 0.3750 0.2500
28 Ti 0.6250 0.7500 0.3750
29 Ti 0.7500 0.3750 0.6250
30 Ti 0.7500 0.8750 0.1250
31 Ti 0.8750 0.1250 0.7500
32 Ti 0.8750 0.2500 0.1250
33 S 0.0067 0.6850 0.1035
34 S 0.0067 0.8217 0.9032
35 S 0.0815 0.6783 0.6850
36 S 0.0815 0.9032 0.3965
37 S 0.0968 0.6035 0.9185
38 S 0.0968 0.9933 0.1783
39 S 0.1035 0.0067 0.6850
40 S 0.1035 0.5968 0.4185
41 S 0.1783 0.0968 0.9933
42 S 0.1783 0.5815 0.1850
43 S 0.1850 0.1783 0.5815
44 S 0.1850 0.5067 0.6035
45 S 0.3150 0.8965 0.9933
46 S 0.3150 0.9185 0.3217
47 S 0.3217 0.3150 0.9185
48 S 0.3217 0.5067 0.4032
49 S 0.3965 0.0815 0.9032
50 S 0.3965 0.8150 0.4933
51 S 0.4032 0.3217 0.5067
52 S 0.4032 0.5815 0.8965
53 S 0.4185 0.1035 0.5968
54 S 0.4185 0.8150 0.8217
55 S 0.4933 0.3965 0.8150
56 S 0.4933 0.5968 0.6783
57 S 0.5067 0.4032 0.3217
58 S 0.5067 0.6035 0.1850
59 S 0.5815 0.1850 0.1783
60 S 0.5815 0.8965 0.4032
61 S 0.5968 0.4185 0.1035
62 S 0.5968 0.6783 0.4933
63 S 0.6035 0.1850 0.5067
64 S 0.6035 0.9185 0.0968
65 S 0.6783 0.4933 0.5968
66 S 0.6783 0.6850 0.0815
67 S 0.6850 0.0815 0.6783
68 S 0.6850 0.1035 0.0067
69 S 0.8150 0.4933 0.3965
70 S 0.8150 0.8217 0.4185
71 S 0.8217 0.4185 0.8150
72 S 0.8217 0.9032 0.0067
73 S 0.8965 0.4032 0.5815
74 S 0.8965 0.9933 0.3150
75 S 0.9032 0.0067 0.8217
76 S 0.9032 0.3965 0.0815
77 S 0.9185 0.0968 0.6035
78 S 0.9185 0.3217 0.3150
79 S 0.9933 0.1783 0.0968
80 S 0.9933 0.3150 0.8965

Summary:
As for the total energy: -5.646 eV per atom. The calculation puts the total magnetization at 0.000 μB/f.u. As for the theoretical density: 3.2 g/cm³.


# 2
Cs2Ti2S9: relaxed, PBE.

abc: 10.5332 10.5332 10.5332
angles: 84.06 84.06 84.06
Element x y z (fractional)
1 Cs 0.0000 0.0000 0.0000
2 Cs 0.1751 0.4413 0.7876
3 Cs 0.2422 0.2422 0.2422
4 Cs 0.4413 0.7876 0.1751
5 Cs 0.6685 0.6685 0.6685
6 Cs 0.7876 0.1751 0.4413
7 Ti 0.0110 0.7335 0.3397
8 Ti 0.1853 0.8796 0.5303
9 Ti 0.3397 0.0110 0.7335
10 Ti 0.5303 0.1853 0.8796
11 Ti 0.7335 0.3397 0.0110
12 Ti 0.8796 0.5303 0.1853
13 S 0.0357 0.7172 0.5768
14 S 0.1046 0.6028 0.1651
15 S 0.1302 0.9171 0.3148
16 S 0.1651 0.1046 0.6028
17 S 0.1884 0.5640 0.3367
18 S 0.2096 0.8362 0.7842
19 S 0.3148 0.1302 0.9171
20 S 0.3367 0.1884 0.5640
21 S 0.3684 0.7259 0.5120
22 S 0.3959 0.8009 0.8330
23 S 0.4075 0.9151 0.5092
24 S 0.5092 0.4075 0.9151
25 S 0.5120 0.3684 0.7259
26 S 0.5640 0.3367 0.1884
27 S 0.5768 0.0357 0.7172
28 S 0.6028 0.1651 0.1046
29 S 0.6434 0.9708 0.8935
30 S 0.7172 0.5768 0.0357
31 S 0.7259 0.5120 0.3684
32 S 0.7842 0.2096 0.8362
33 S 0.8009 0.8330 0.3959
34 S 0.8330 0.3959 0.8009
35 S 0.8362 0.7842 0.2096
36 S 0.8935 0.6434 0.9708
37 S 0.9151 0.5092 0.4075
38 S 0.9171 0.3148 0.1302
39 S 0.9708 0.8935 0.6434

Summary:
As for the total energy: -5.192 eV per atom. The calculation puts the total magnetization at 0.000 μB/f.u. As for the theoretical density: 2.8 g/cm³.


# 3
CsTiS2: relaxed, PBE.

abc: 6.0074 13.0748 7.5607
angles: 90.00 90.00 90.00
Element x y z (fractional)
1 Cs 0.2500 0.1857 0.0000
2 Cs 0.2500 0.6857 0.5000
3 Cs 0.7500 0.3143 0.5000
4 Cs 0.7500 0.8143 0.0000
5 Ti 0.0000 0.0000 0.3964
6 Ti 0.0000 0.5000 0.8964
7 Ti 0.5000 0.0000 0.3964
8 Ti 0.5000 0.5000 0.8964
9 S 0.2500 0.1050 0.5501
10 S 0.2500 0.4087 0.7188
11 S 0.2500 0.6050 0.0501
12 S 0.2500 0.9087 0.2188
13 S 0.7500 0.0913 0.2188
14 S 0.7500 0.3950 0.0501
15 S 0.7500 0.5913 0.7188
16 S 0.7500 0.8950 0.5501

Summary:
As for the total energy: -5.617 eV per atom. The calculation puts the total magnetization at 1.001 μB/f.u. As for the theoretical density: 2.7 g/cm³.


# 4
Cs2TiS4: relaxed, PBE.

abc: 4.9434 4.9434 17.4692
angles: 90.00 90.00 90.00
Element x y z (fractional)
1 Cs 0.0000 0.0000 0.1508
2 Cs 0.0000 0.0000 0.8492
3 Cs 0.5000 0.5000 0.3492
4 Cs 0.5000 0.5000 0.6508
5 Ti 0.0000 0.0000 0.5000
6 Ti 0.5000 0.5000 0.0000
7 S 0.0000 0.0000 0.3655
8 S 0.0000 0.0000 0.6345
9 S 0.0000 0.5000 0.0000
10 S 0.0000 0.5000 0.5000
11 S 0.5000 0.0000 0.0000
12 S 0.5000 0.0000 0.5000
13 S 0.5000 0.5000 0.1345
14 S 0.5000 0.5000 0.8655

Summary:
As for the total energy: -4.632 eV per atom. The calculation puts the total magnetization at 1.859 μB/f.u. As for the theoretical density: 3.4 g/cm³.


# 5
CsTi4S8: relaxed, PBE.

abc: 9.6004 9.6004 9.6004
angles: 41.75 41.75 41.75
Element x y z (fractional)
1 Cs 0.0000 0.0000 0.0000
2 Ti 0.0000 0.0000 0.5000
3 Ti 0.0000 0.5000 0.0000
4 Ti 0.5000 0.0000 0.0000
5 Ti 0.5000 0.5000 0.5000
6 S 0.2212 0.2212 0.2212
7 S 0.2226 0.7206 0.7206
8 S 0.2794 0.2794 0.7774
9 S 0.2794 0.7774 0.2794
10 S 0.7206 0.2226 0.7206
11 S 0.7206 0.7206 0.2226
12 S 0.7774 0.2794 0.2794
13 S 0.7788 0.7788 0.7788

Summary:
As for the total energy: -6.438 eV per atom. The calculation puts the total magnetization at 0.000 μB/f.u. As for the theoretical density: 2.7 g/cm³.


# 6
CsTiS: relaxed, PBE.

abc: 8.5035 3.9449 12.8939
angles: 90.00 90.00 90.00
Element x y z (fractional)
1 Cs 0.0215 0.2500 0.1966
2 Cs 0.4785 0.7500 0.6966
3 Cs 0.5215 0.2500 0.3034
4 Cs 0.9785 0.7500 0.8034
5 Ti 0.1099 0.7500 0.4932
6 Ti 0.3901 0.2500 0.9932
7 Ti 0.6099 0.7500 0.0068
8 Ti 0.8901 0.2500 0.5068
9 S 0.1432 0.2500 0.5957
10 S 0.3568 0.7500 0.0957
11 S 0.6432 0.2500 0.9043
12 S 0.8568 0.7500 0.4043

Summary:
As for the total energy: -4.866 eV per atom. The calculation puts the total magnetization at 0.700 μB/f.u. As for the theoretical density: 3.3 g/cm³.


# 7
CsTi2S4: relaxed, PBE.

abc: 6.6719 6.6719 12.9271
angles: 90.00 90.00 147.98
Element x y z (fractional)
1 Cs 0.1068 0.8932 0.7500
2 Cs 0.8932 0.1068 0.2500
3 Ti 0.3679 0.6321 0.5682
4 Ti 0.3679 0.6321 0.9318
5 Ti 0.6321 0.3679 0.0682
6 Ti 0.6321 0.3679 0.4318
7 S 0.0000 0.0000 0.0000
8 S 0.0000 0.0000 0.5000
9 S 0.2558 0.7442 0.0905
10 S 0.2558 0.7442 0.4095
11 S 0.3941 0.6059 0.7500
12 S 0.6059 0.3941 0.2500
13 S 0.7442 0.2558 0.5905
14 S 0.7442 0.2558 0.9095

Summary:
As for the total energy: -5.905 eV per atom. The calculation puts the total magnetization at 0.879 μB/f.u. As for the theoretical density: 3.9 g/cm³.


# 8
CsTiS2: relaxed, PBE.

abc: 3.7248 3.7248 23.8758
angles: 90.00 90.00 120.00
Element x y z (fractional)
1 Cs 0.0000 0.0000 0.0000
2 Cs 0.3333 0.6667 0.6667
3 Cs 0.6667 0.3333 0.3333
4 Ti 0.0000 0.0000 0.8310
5 Ti 0.3333 0.6667 0.4976
6 Ti 0.6667 0.3333 0.1643
7 S 0.0000 0.0000 0.2211
8 S 0.0000 0.0000 0.4415
9 S 0.3333 0.6667 0.1081
10 S 0.3333 0.6667 0.8877
11 S 0.6667 0.3333 0.5544
12 S 0.6667 0.3333 0.7748

Summary:
As for the total energy: -5.486 eV per atom. The calculation puts the total magnetization at 0.969 μB/f.u. As for the theoretical density: 4.3 g/cm³.


# 9
Cs6TiS4: relaxed, PBE.

abc: 11.1253 11.1253 8.5035
angles: 90.00 90.00 120.00
Element x y z (fractional)
1 Cs 0.0686 0.5343 0.0000
2 Cs 0.1371 0.2743 0.6777
3 Cs 0.1371 0.8629 0.6777
4 Cs 0.2743 0.1371 0.1777
5 Cs 0.4657 0.5343 0.0000
6 Cs 0.4657 0.9314 0.0000
7 Cs 0.5343 0.0686 0.5000
8 Cs 0.5343 0.4657 0.5000
9 Cs 0.7257 0.8629 0.6777
10 Cs 0.8629 0.1371 0.1777
11 Cs 0.8629 0.7257 0.1777
12 Cs 0.9314 0.4657 0.5000
13 Ti 0.3333 0.6667 0.3995
14 Ti 0.6667 0.3333 0.8995
15 S 0.2188 0.4376 0.3072
16 S 0.2188 0.7812 0.3072
17 S 0.3333 0.6667 0.6769
18 S 0.4376 0.2188 0.8072
19 S 0.5624 0.7812 0.3072
20 S 0.6667 0.3333 0.1769
21 S 0.7812 0.2188 0.8072
22 S 0.7812 0.5624 0.8072

Summary:
As for the total energy: -3.744 eV per atom. The calculation puts the total magnetization at 0.836 μB/f.u. As for the theoretical density: 3.5 g/cm³.


# 10
Cs4TiS4: relaxed, PBE.

abc: 8.9639 8.9639 8.9639
angles: 125.45 125.45 80.79
Element x y z (fractional)
1 Cs 0.0000 0.5000 0.5000
2 Cs 0.2017 0.2017 0.0000
3 Cs 0.5000 0.0000 0.5000
4 Cs 0.7983 0.7983 0.0000
5 Ti 0.5000 0.5000 0.0000
6 S 0.2414 0.5627 0.0000
7 S 0.4373 0.4373 0.6786
8 S 0.5627 0.2414 0.0000
9 S 0.7586 0.7586 0.3214

Summary:
As for the total energy: -4.352 eV per atom. The calculation puts the total magnetization at 0.000 μB/f.u. As for the theoretical density: 2.6 g/cm³.


# 11
Cs5TiS5: relaxed, PBE.

abc: 8.2702 8.2702 9.0960
angles: 107.99 107.99 46.14
Element x y z (fractional)
1 Cs 0.0000 0.0000 0.0000
2 Cs 0.3070 0.3070 0.2068
3 Cs 0.3383 0.3383 0.6724
4 Cs 0.6617 0.6617 0.3276
5 Cs 0.6930 0.6930 0.7932
6 Ti 0.0000 0.0000 0.5000
7 S 0.1199 0.1199 0.3856
8 S 0.1201 0.1201 0.7533
9 S 0.5000 0.5000 0.5000
10 S 0.8799 0.8799 0.2467
11 S 0.8801 0.8801 0.6144

Summary:
As for the total energy: -3.902 eV per atom. The calculation puts the total magnetization at 1.052 μB/f.u. As for the theoretical density: 3.4 g/cm³.


# 12
CsTi4S8: relaxed, PBE.

abc: 7.5918 7.5918 7.5918
angles: 60.00 60.00 60.00
Element x y z (fractional)
1 Cs 0.0000 0.0000 0.0000
2 Ti 0.1420 0.6193 0.6193
3 Ti 0.6193 0.1420 0.6193
4 Ti 0.6193 0.6193 0.1420
5 Ti 0.6193 0.6193 0.6193
6 S 0.3875 0.3875 0.3875
7 S 0.3875 0.3875 0.8376
8 S 0.3875 0.8376 0.3875
9 S 0.4583 0.8472 0.8472
10 S 0.8376 0.3875 0.3875
11 S 0.8472 0.4583 0.8472
12 S 0.8472 0.8472 0.4583
13 S 0.8472 0.8472 0.8472

Summary:
As for the total energy: -6.064 eV per atom. The calculation puts the total magnetization at 0.531 μB/f.u. As for the theoretical density: 3.1 g/cm³.